# 1
This record from the Alexandria database describes a relaxed Zn2PtBr crystal. The functional is PBE.

a b c (Å): 5.413 5.413 7.974
angles (deg): 70.16 70.16 90.00
Atoms (fractional coordinates):
Zn (0.684, 0.125, 0.250)
Zn (0.066, 0.625, 0.250)
Zn (0.375, 0.316, 0.750)
Zn (0.875, 0.934, 0.750)
Br (0.500, 0.500, 0.000)
Br (0.250, 0.750, 0.500)
Pt (0.000, 0.000, 0.000)
Pt (0.750, 0.250, 0.500)

## Properties
The formation energy from raw total energies comes out at -0.0444 eV per atom. For the final energy, the calculation gives -2.61 eV/atom. For the energy relative to the lowest polymorph listed for this composition, the calculation gives 281 meV per atom.

***

# 2
This record from the Alexandria database describes a relaxed ZnPt2Br crystal. The functional is PBE.

a b c (Å): 7.892 7.892 7.892
angles (deg): 24.38 24.38 24.38
Atoms (fractional coordinates):
Br (0.751, 0.751, 0.751)
Pt (0.995, 0.995, 0.995)
Pt (0.248, 0.248, 0.248)
Zn (0.506, 0.506, 0.506)

## Properties
The formation energy from raw total energies comes out at 0.1754 eV per atom. For the final energy, the calculation gives -3.58 eV/atom. For the energy relative to the lowest polymorph listed for this composition, the calculation gives 248 meV per atom.

***

# 3
This record from the Alexandria database describes a relaxed Zn2PtBr crystal. The functional is PBE.

a b c (Å): 4.603 4.603 6.595
angles (deg): 108.09 108.09 45.32
Atoms (fractional coordinates):
Br (0.437, 0.437, 0.522)
Pt (0.336, 0.336, 0.101)
Zn (0.032, 0.032, 0.048)
Zn (0.695, 0.695, 0.829)

## Properties
The formation energy from raw total energies comes out at -0.2427 eV per atom. For the final energy, the calculation gives -2.81 eV/atom. For the energy relative to the lowest polymorph listed for this composition, the calculation gives 82 meV per atom.

***

# 4
This record from the Alexandria database describes a relaxed Zn4PtBr crystal. The functional is PBE.

a b c (Å): 5.233 5.233 5.233
angles (deg): 60.00 60.00 60.00
Atoms (fractional coordinates):
Zn (0.877, 0.374, 0.374)
Zn (0.374, 0.374, 0.877)
Zn (0.374, 0.877, 0.374)
Zn (0.374, 0.374, 0.374)
Pt (0.000, 0.000, 0.000)
Br (0.750, 0.750, 0.750)

## Properties
The formation energy from raw total energies comes out at 0.1940 eV per atom. For the final energy, the calculation gives -1.94 eV/atom.

***

# 5
This record from the Alexandria database describes a relaxed Zn3PtBr crystal. The functional is PBE.

a b c (Å): 4.897 4.897 4.897
angles (deg): 90.00 90.00 90.00
Atoms (fractional coordinates):
Zn (0.000, 0.500, 0.000)
Zn (0.000, 0.000, 0.500)
Zn (0.500, 0.000, 0.000)
Br (0.000, 0.000, 0.000)
Pt (0.500, 0.500, 0.500)

## Properties
The formation energy from raw total energies comes out at 0.9982 eV per atom. For the final energy, the calculation gives -1.31 eV/atom. For the energy relative to the lowest polymorph listed for this composition, the calculation gives 1158 meV per atom.

***

# 6
This record from the Alexandria database describes a relaxed ZnPt2Br crystal. The functional is PBE.

a b c (Å): 3.808 4.201 4.201
angles (deg): 90.00 90.00 90.00
Atoms (fractional coordinates):
Br (0.500, 0.000, 0.500)
Pt (0.000, 0.000, 0.000)
Pt (0.000, 0.500, 0.500)
Zn (0.500, 0.500, 0.000)

## Properties
The formation energy from raw total energies comes out at 0.3177 eV per atom. For the final energy, the calculation gives -3.44 eV/atom. For the energy relative to the lowest polymorph listed for this composition, the calculation gives 390 meV per atom.

***

# 7
This record from the Alexandria database describes a relaxed Zn2PtBr crystal. The functional is PBE.

a b c (Å): 3.249 3.249 6.999
angles (deg): 90.00 90.00 90.00
Atoms (fractional coordinates):
Br (0.500, 0.500, 0.250)
Pt (0.500, 0.500, 0.750)
Zn (0.000, 0.000, 0.944)
Zn (0.000, 0.000, 0.556)

## Properties
The formation energy from raw total energies comes out at -0.1730 eV per atom. For the final energy, the calculation gives -2.74 eV/atom. For the energy relative to the lowest polymorph listed for this composition, the calculation gives 152 meV per atom.

***

# 8
This record from the Alexandria database describes a relaxed ZnPt3Br crystal. The functional is PBE.

a b c (Å): 4.710 4.710 4.710
angles (deg): 90.00 90.00 90.00
Atoms (fractional coordinates):
Zn (0.000, 0.000, 0.000)
Br (0.500, 0.500, 0.500)
Pt (0.000, 0.500, 0.000)
Pt (0.000, 0.000, 0.500)
Pt (0.500, 0.000, 0.000)

## Properties
The formation energy from raw total energies comes out at 0.9484 eV per atom. For the final energy, the calculation gives -3.27 eV/atom. For the energy relative to the lowest polymorph listed for this composition, the calculation gives 0 meV per atom.

***

# 9
This record from the Alexandria database describes a relaxed ZnPt2Br crystal. The functional is PBE.

a b c (Å): 4.824 4.824 2.989
angles (deg): 90.00 90.00 104.25
Atoms (fractional coordinates):
Br (0.000, 0.500, 0.500)
Pt (0.000, 0.000, 0.000)
Pt (0.500, 0.500, 0.000)
Zn (0.500, 0.000, 0.500)

## Properties
The formation energy from raw total energies comes out at 0.3512 eV per atom. For the final energy, the calculation gives -3.41 eV/atom. For the energy relative to the lowest polymorph listed for this composition, the calculation gives 424 meV per atom.

***

# 10
This record from the Alexandria database describes a relaxed ZnPt2Br crystal. The functional is PBE.

a b c (Å): 3.486 3.724 6.906
angles (deg): 83.52 90.00 90.00
Atoms (fractional coordinates):
Br (0.500, 0.983, 0.716)
Pt (0.000, 0.954, 0.118)
Pt (0.500, 0.441, 0.206)
Zn (0.000, 0.122, 0.460)

## Properties
The formation energy from raw total energies comes out at 0.0141 eV per atom. For the final energy, the calculation gives -3.74 eV/atom. For the energy relative to the lowest polymorph listed for this composition, the calculation gives 86 meV per atom.

***

# 11
This record from the Alexandria database describes a relaxed ZnPtBr2 crystal. The functional is PBE.

a b c (Å): 4.885 4.885 3.398
angles (deg): 90.00 90.00 90.23
Atoms (fractional coordinates):
Br (0.000, 0.000, 0.000)
Br (0.500, 0.500, 0.000)
Pt (0.500, 0.000, 0.500)
Zn (0.000, 0.500, 0.500)

## Properties
The formation energy from raw total energies comes out at 0.4949 eV per atom. For the final energy, the calculation gives -2.17 eV/atom. For the energy relative to the lowest polymorph listed for this composition, the calculation gives 732 meV per atom.

***

# 12
This record from the Alexandria database describes a relaxed ZnPtBr2 crystal. The functional is PBE.

a b c (Å): 5.063 5.072 5.033
angles (deg): 62.74 85.62 117.47
Atoms (fractional coordinates):
Br (0.000, 0.000, 0.000)
Br (0.500, 0.000, 0.500)
Pt (0.000, 0.500, 0.500)
Zn (0.500, 0.500, 0.000)

## Properties
The formation energy from raw total energies comes out at 0.1220 eV per atom. For the final energy, the calculation gives -2.54 eV/atom. For the energy relative to the lowest polymorph listed for this composition, the calculation gives 359 meV per atom.

***

# 13
This record from the Alexandria database describes a relaxed Zn2PtBr crystal. The functional is PBE.

a b c (Å): 4.665 4.665 4.665
angles (deg): 60.00 60.00 60.00
Atoms (fractional coordinates):
Zn (0.250, 0.250, 0.250)
Zn (0.750, 0.750, 0.750)
Br (0.000, 0.000, 0.000)
Pt (0.500, 0.500, 0.500)

## Properties
The formation energy from raw total energies comes out at 0.2371 eV per atom. For the final energy, the calculation gives -2.33 eV/atom. For the energy relative to the lowest polymorph listed for this composition, the calculation gives 562 meV per atom.

***

# 14
This record from the Alexandria database describes a relaxed Zn2PtBr crystal. The functional is PBE.

a b c (Å): 4.798 4.798 3.022
angles (deg): 90.00 90.00 89.40
Atoms (fractional coordinates):
Br (0.500, 0.000, 0.500)
Pt (0.000, 0.500, 0.500)
Zn (0.000, 0.000, 0.000)
Zn (0.500, 0.500, 0.000)

## Properties
The formation energy from raw total energies comes out at -0.0171 eV per atom. For the final energy, the calculation gives -2.58 eV/atom. For the energy relative to the lowest polymorph listed for this composition, the calculation gives 308 meV per atom.

***

# 15
This record from the Alexandria database describes a relaxed ZnPtBr2 crystal. The functional is PBE.

a b c (Å): 3.516 6.667 3.961
angles (deg): 90.00 90.00 90.00
Atoms (fractional coordinates):
Br (0.000, 0.000, 0.000)
Br (0.500, 0.500, 0.000)
Pt (0.500, 0.000, 0.500)
Zn (0.000, 0.500, 0.500)

## Properties
The formation energy from raw total energies comes out at 0.2013 eV per atom. For the final energy, the calculation gives -2.46 eV/atom. For the energy relative to the lowest polymorph listed for this composition, the calculation gives 439 meV per atom.

***

# 16
This record from the Alexandria database describes a relaxed ZnPt2Br crystal. The functional is PBE.

a b c (Å): 2.902 3.571 7.287
angles (deg): 90.00 90.00 90.00
Atoms (fractional coordinates):
Br (0.500, 0.500, 0.780)
Pt (0.000, 0.000, 0.037)
Pt (0.500, 0.500, 0.261)
Zn (0.000, 0.000, 0.423)

## Properties
The formation energy from raw total energies comes out at 0.1353 eV per atom. For the final energy, the calculation gives -3.62 eV/atom. For the energy relative to the lowest polymorph listed for this composition, the calculation gives 208 meV per atom.

***

# 17
This record from the Alexandria database describes a relaxed ZnPtBr2 crystal. The functional is PBE.

a b c (Å): 4.371 4.371 9.403
angles (deg): 90.00 90.00 131.02
Atoms (fractional coordinates):
Br (0.000, 0.000, 0.072)
Br (0.000, 0.000, 0.428)
Pt (0.500, 0.500, 0.250)
Zn (0.500, 0.500, 0.750)

## Properties
The formation energy from raw total energies comes out at 0.1144 eV per atom. For the final energy, the calculation gives -2.55 eV/atom. For the energy relative to the lowest polymorph listed for this composition, the calculation gives 352 meV per atom.

***

# 18
This record from the Alexandria database describes a relaxed Zn3PtBr crystal. The functional is PBE.

a b c (Å): 4.917 4.917 4.917
angles (deg): 90.00 90.00 90.00
Atoms (fractional coordinates):
Zn (0.000, 0.500, 0.000)
Zn (0.000, 0.000, 0.500)
Zn (0.500, 0.000, 0.000)
Br (0.500, 0.500, 0.500)
Pt (0.000, 0.000, 0.000)

## Properties
The formation energy from raw total energies comes out at -0.1593 eV per atom. For the final energy, the calculation gives -2.47 eV/atom. For the energy relative to the lowest polymorph listed for this composition, the calculation gives 0 meV per atom.

***

# 19
This record from the Alexandria database describes a relaxed ZnPt2Br crystal. The functional is PBE.

a b c (Å): 4.430 4.430 7.835
angles (deg): 110.62 110.62 38.03
Atoms (fractional coordinates):
Br (0.250, 0.250, 0.250)
Pt (0.088, 0.088, 0.907)
Pt (0.412, 0.412, 0.593)
Zn (0.750, 0.750, 0.750)

## Properties
The formation energy from raw total energies comes out at -0.0191 eV per atom. For the final energy, the calculation gives -3.78 eV/atom. For the energy relative to the lowest polymorph listed for this composition, the calculation gives 53 meV per atom.

***

# 20
This record from the Alexandria database describes a relaxed Zn2PtBr8 crystal. The functional is PBE.

a b c (Å): 6.493 8.090 8.090
angles (deg): 60.50 92.80 92.80
Atoms (fractional coordinates):
Zn (0.559, 0.836, 0.836)
Zn (0.441, 0.164, 0.164)
Pt (0.000, 0.000, 0.000)
Br (0.244, 0.855, 0.286)
Br (0.244, 0.286, 0.855)
Br (0.756, 0.145, 0.714)
Br (0.419, 0.331, 0.331)
Br (0.756, 0.714, 0.145)
Br (0.177, 0.844, 0.844)
Br (0.823, 0.156, 0.156)
Br (0.581, 0.669, 0.669)

## Properties
The formation energy from raw total energies comes out at -0.5620 eV per atom. For the final energy, the calculation gives -2.56 eV/atom.